Record 1
The following is a meta-GGA SCAN calculation of a PBEsol-optimized structure of IrOsRh, from the Alexandria database.

It has space group I4mm (No. 107), with a = 2.695 Å, b = 2.695 Å, c = 11.436 Å, α = 90.00°, β = 90.00° and γ = 90.00°. The inequivalent atoms are Ir at (0.000, 0.000, 0.000), Os at (0.000, 0.000, 0.662) and Rh at (0.000, 0.000, 0.326).

As for the energy above the most stable polymorph in this dataset: 1.1 kJ per mole of atoms. The uncorrected energy comes out at -58.918 eV per atom. Its energy relative to the elements is 0.00 eV per formula unit.

=====

Record 2
The following is a meta-GGA SCAN calculation of a PBEsol-optimized structure of Tm2Ni2Sn, from the Alexandria database.

It has space group P4/mbm (No. 127), with a = 7.167 Å, b = 7.167 Å, c = 3.563 Å, α = 90.00°, β = 90.00° and γ = 90.00°. The inequivalent atoms are Tm at (0.174, 0.326, 0.000), Ni at (0.121, 0.621, 0.500) and Sn at (0.000, 0.000, 0.500).

The uncorrected energy comes out at -35.051 eV per atom. Its energy relative to the elements is -3.32 eV per formula unit.

=====

Record 3
The following is a meta-GGA SCAN calculation of a PBEsol-optimized structure of P2OsOF, from the Alexandria database.

It has space group P4/mmm (No. 123), with a = 3.874 Å, b = 3.874 Å, c = 4.023 Å, α = 90.00°, β = 90.00° and γ = 90.00°. The inequivalent atoms are P at (0.000, 0.500, 0.000), Os at (0.000, 0.000, 0.500), O at (0.500, 0.500, 0.500) and F at (0.500, 0.500, 0.000).

The uncorrected energy comes out at -19.307 eV per atom. The energy relative to the elements, uncorrected comes out at 1.183 eV/atom.

=====

Record 4
The following is a meta-GGA SCAN calculation of a PBEsol-optimized structure of NiAgCl2, from the Alexandria database.

It has space group Cmmm (No. 65), with a = 3.240 Å, b = 6.064 Å, c = 7.404 Å, α = 90.00°, β = 90.00° and γ = 90.00°. The inequivalent atoms are Ni at (0.000, 0.000, 0.000), Ag at (0.000, 0.000, 0.500) and Cl at (0.000, 0.500, 0.214).

As for the energy above the most stable polymorph in this dataset: 0.9 kJ per mole of atoms. The uncorrected energy comes out at -16.173 eV per atom. The energy relative to the elements, uncorrected comes out at -0.299 eV/atom.

=====

Record 5
The following is a meta-GGA SCAN calculation of a PBEsol-optimized structure of AlTlPt2, from the Alexandria database.

It has space group Cm (No. 8), with a = 9.368 Å, b = 3.429 Å, c = 4.380 Å, α = 90.00°, β = 107.51° and γ = 90.00°. The inequivalent atoms are Al at (0.000, 0.000, 0.000), Tl at (0.258, 0.500, 0.366), Pt at (0.008, 0.500, 0.540) and Pt at (0.281, 0.000, 0.893).

As for the energy above the most stable polymorph in this dataset: 19.8 kJ per mole of atoms. The uncorrected energy comes out at -55.481 eV per atom. Its energy relative to the elements is -1.43 eV per formula unit.

=====

Record 6
The following is a meta-GGA SCAN calculation of a PBEsol-optimized structure of Ba2Zr6BCl17, from the Alexandria database.

It has space group I4/m (No. 87), with a = 11.485 Å, b = 11.485 Å, c = 9.854 Å, α = 90.00°, β = 90.00° and γ = 90.00°. The inequivalent atoms are Ba at (0.000, 0.500, 0.250), Zr at (0.000, 0.000, 0.234), Zr at (0.067, 0.187, 0.000), B at (0.000, 0.000, 0.000), Cl at (0.000, 0.000, 0.500), Cl at (0.073, 0.209, 0.255), Cl at (0.092, 0.634, 0.500) and Cl at (0.133, 0.719, 0.000).

The uncorrected energy comes out at -17.804 eV per atom. The energy relative to the elements, uncorrected comes out at -2.175 eV/atom.

=====

Record 7
The following is a meta-GGA SCAN calculation of a PBEsol-optimized structure of AsPb3, from the Alexandria database.

It has space group Immm (No. 71), with a = 3.908 Å, b = 5.197 Å, c = 10.717 Å, α = 90.00°, β = 90.00° and γ = 90.00°. The inequivalent atoms are As at (0.000, 0.000, 0.000), Pb at (0.000, 0.000, 0.500) and Pb at (0.000, 0.500, 0.287).

As for the energy above the most stable polymorph in this dataset: 2.2 kJ per mole of atoms. The uncorrected energy comes out at -61.797 eV per atom. Its energy relative to the elements is 0.35 eV per formula unit.

=====

Record 8
The following is a meta-GGA SCAN calculation of a PBEsol-optimized structure of ReW, from the Alexandria database.

It has space group P6_3/mmc (No. 194), with a = 3.9604 Å, b = 3.9604 Å, c = 5.2239 Å, α = 90.00°, β = 90.00° and γ = 120.00°. The inequivalent atoms are Re at (0.3333, 0.6667, 0.2500) and W at (0.0000, 0.0000, 0.0000).

As for the energy above the most stable polymorph in this dataset: 96.1 kJ per mole of atoms. The uncorrected energy comes out at -69.328 eV per atom. Its energy relative to the elements is 2.13 eV per formula unit.